Below is crystalline CuP2PbO at its relaxed geometry, with properties calculated at the GGA-PBE level.

## Properties
The calculated density comes out at 6.845 g/cm3. For the total magnetization, the calculation gives 0.00 μB/atom. Its formation energy from raw total energies is 368 meV per atom. The calculation puts the calculated volume at 84.59 Å³ per cell. For the energy above the most stable polymorph in this dataset, the calculation gives 0 meV per atom.

The structure in POSCAR format:
```
CuP2PbO
1.0
-0.8051 -4.2933 1.9551
4.6578 -1.0380 -0.3612
0.5774 1.4217 3.3595
Cu O P Pb
1 1 2 1
Cartesian
0.0000 0.0000 0.0000
0.2887 0.7108 1.6798
2.3289 -0.5190 -0.1806
-0.4025 -2.1466 0.9776
2.2150 -1.9548 2.4767
```

Below is crystalline Th3Co at its relaxed geometry, with properties calculated at the GGA-PBE level.

## Properties
The calculated density comes out at 11.542 g/cm3. The value obtained for the formation energy is -0.103 eV/atom. For the total magnetization, the calculation gives 0.00 μB/atom. The calculation puts the calculated volume at 108.63 Å³ per cell.

The structure in POSCAR format:
```
Th3Co
1.0
-0.0023 -0.3471 -3.5730
4.8179 -3.5029 0.3372
-5.3993 -2.1514 2.0158
Th Co
3 1
Cartesian
1.8675 -1.5321 -1.6557
-0.0788 -3.8151 0.3706
-1.7742 -1.2633 -1.6795
0.2037 -0.1481 0.0143
```

Below is crystalline SnRhCl2 at its relaxed geometry, with properties calculated at the GGA-PBE level.

## Properties
The calculated density comes out at 5.930 g/cm3. For the total magnetization, the calculation gives 0.25 μB/atom. Its formation energy from raw total energies is 131 meV per atom. The calculation puts the calculated volume at 81.91 Å³ per cell. For the energy above the most stable polymorph in this dataset, the calculation gives 221 meV per atom.

The structure in POSCAR format:
```
SnRhCl2
1.0
0.0000 3.4469 3.4469
3.4469 0.0000 3.4469
3.4469 3.4469 0.0000
Cl Rh Sn
2 1 1
Cartesian
5.1704 5.1704 5.1704
1.7235 1.7235 1.7235
0.0000 0.0000 0.0000
3.4469 3.4469 3.4469
```